Record 1
Entry from Alexandria: a geometry-optimized Pm2PrSm6Er structure (GGA-PBE).

Cell and atoms, written as extended XYZ:
```
20
Lattice="1.417 -0.549 -9.670 0.795 -8.804 1.260 -8.227 3.386 -0.754" Properties=species:S:1:pos:R:3 pbc="T T T"
Pm -4.474 -4.934 -3.928
Pm -1.335 -1.994 -0.196
Pm -1.542 -1.032 -5.235
Pm -4.681 -3.973 -8.967
Pr 0.962 -8.689 -1.199
Pr -6.978 2.722 -7.965
Sm -5.978 1.428 -0.949
Sm -6.393 0.511 -4.640
Sm -0.038 -7.395 -8.214
Sm 0.378 -6.477 -4.523
Sm -2.317 -7.382 -2.112
Sm 0.591 -5.063 -1.101
Sm -3.699 1.415 -7.052
Sm -6.607 -0.904 -8.063
Sm -3.329 -4.614 -0.636
Sm -1.473 -3.675 -3.263
Sm -2.687 -1.353 -8.528
Sm -4.542 -2.291 -5.900
Er -4.185 -1.734 -2.348
Er -1.831 -4.233 -6.815
```

SG: C2/c

***

Record 2
Entry from Alexandria: a geometry-optimized PmPr5SmEr2 structure (GGA-PBE).

Cell and atoms, written as extended XYZ:
```
18
Lattice="5.724 0.000 0.000 -2.862 10.297 0.000 0.000 0.000 10.765" Properties=species:S:1:pos:R:3 pbc="T T T"
Pm 2.862 6.183 5.489
Pm 0.000 4.114 0.107
Pr 0.000 8.021 0.277
Pr 2.862 4.513 8.727
Pr 0.000 9.858 7.993
Pr 0.000 6.083 7.573
Pr 2.862 9.964 5.617
Pr 2.862 2.276 5.660
Pr 0.000 5.784 3.345
Pr 2.862 0.439 2.611
Pr 2.862 4.214 2.191
Pr 0.000 0.333 0.234
Sm 2.862 1.826 10.270
Sm 0.000 8.471 4.887
Er 2.862 7.887 8.809
Er 0.000 2.293 7.939
Er 0.000 2.410 3.427
Er 2.862 8.004 2.557
```

SG: Cmc2_1

***

| no. | formation energy from the elements (eV/atom) |
| --- | --- |
| 1 | 0.11 |
| 2 | 0.14 |